SbO3: relaxed, PBE-GGA.

Values from the calculation:
Relative energy among the computed polymorphs ... 0 meV per atom
Formation energy without anion corrections ... -0.808 eV/atom
Magnetic moment ... 1.01 μB/f.u.
SG ... No. 227

Cell: 7.3843 7.3843 7.3843 Å, 60.00 60.00 60.00°
Closest atoms and distances in Å follow each position.
Sites, in units of the cell vectors:
Sb 0.0000 0.0000 0.0000  6 O 1.99
Sb 0.0000 0.0000 0.5000  6 O 1.99
Sb 0.0000 0.5000 0.0000  6 O 1.99
Sb 0.5000 0.0000 0.0000  6 O 1.99
O 0.0721 0.0721 0.6779  2 Sb 1.99
O 0.0721 0.6779 0.0721  2 Sb 1.99
O 0.0721 0.6779 0.6779  2 Sb 1.99
O 0.3221 0.3221 0.9279  2 Sb 1.99
O 0.3221 0.9279 0.3221  2 Sb 1.99
O 0.3221 0.9279 0.9279  2 Sb 1.99
O 0.6779 0.0721 0.0721  2 Sb 1.99
O 0.6779 0.0721 0.6779  2 Sb 1.99
O 0.6779 0.6779 0.0721  2 Sb 1.99
O 0.9279 0.3221 0.3221  2 Sb 1.99
O 0.9279 0.3221 0.9279  2 Sb 1.99
O 0.9279 0.9279 0.3221  2 Sb 1.99

=====

SbO2: relaxed, PBE-GGA.

Values from the calculation:
Formation energy without anion corrections ... -1.101 eV/atom
Magnetic moment ... 0.00 μB/f.u.
SG ... No. 74

Cell: 6.7576 6.7576 6.7576 Å, 124.99 116.57 88.81°
Closest atoms and distances in Å follow each position.
Sites, in units of the cell vectors:
Sb 0.0000 0.0000 0.0000  6 O 2.34-2.39
Sb 0.5000 0.0000 0.0000  6 O 1.99-2.07
Sb 0.5000 0.0000 0.5000  6 O 2.34-2.39
Sb 0.5000 0.5000 0.5000  6 O 1.99-2.07
O 0.2944 0.2782 0.4838  1 Sb 1.99
O 0.2944 0.8105 0.0162  1 Sb 1.99
O 0.3023 0.2441 0.0582  2 Sb 2.07
O 0.3140 0.7559 0.5582  2 Sb 2.07
O 0.6860 0.2441 0.4418  2 Sb 2.07
O 0.6977 0.7559 0.9418  2 Sb 2.07
O 0.7056 0.1895 0.9838  1 Sb 1.99
O 0.7056 0.7218 0.5162  1 Sb 1.99

=====

SbO3: relaxed, PBE-GGA.

Values from the calculation:
Relative energy among the computed polymorphs ... 193 meV per atom
Formation energy without anion corrections ... -0.615 eV/atom
Magnetic moment ... 1.01 μB/f.u.
SG ... No. 63

Cell: 4.0948 4.0948 9.4707 Å, 90.00 90.00 138.07°
Closest atoms and distances in Å follow each position.
Sites, in units of the cell vectors:
Sb 0.1789 0.8211 0.7500  7 O 2.03-2.20
Sb 0.8211 0.1789 0.2500  7 O 2.03-2.20
O 0.1059 0.8941 0.2500  3 Sb 2.18-2.20, 2 O 2.40
O 0.3636 0.6364 0.1056  2 Sb 2.03
O 0.3636 0.6364 0.3944  2 Sb 2.03
O 0.6364 0.3636 0.6056  2 Sb 2.03
O 0.6364 0.3636 0.8944  2 Sb 2.03
O 0.8941 0.1059 0.7500  3 Sb 2.18-2.20, 2 O 2.40

=====

SbO2: relaxed, PBE-GGA.

Values from the calculation:
Formation energy without anion corrections ... -1.238 eV/atom
Magnetic moment ... 0.00 μB/f.u.
SG ... No. 62

Cell: 12.4064 3.2115 10.9074 Å, 90.00 90.00 90.00°
Closest atoms and distances in Å follow each position.
Sites, in units of the cell vectors:
Sb 0.0352 0.2500 0.1263  6 O 1.95-2.17
Sb 0.0935 0.2500 0.5838  5 O 2.07-2.27
Sb 0.4065 0.7500 0.0838  5 O 2.07-2.27
Sb 0.4648 0.7500 0.6263  6 O 1.95-2.17
Sb 0.5352 0.2500 0.3737  6 O 1.95-2.17
Sb 0.5935 0.2500 0.9162  5 O 2.07-2.27
Sb 0.9065 0.7500 0.4162  5 O 2.07-2.27
Sb 0.9648 0.7500 0.8737  6 O 1.95-2.17
O 0.0445 0.7500 0.7199  1 Sb 1.95
O 0.0667 0.2500 0.9399  3 Sb 2.07-2.17
O 0.0703 0.7500 0.4544  3 Sb 2.07-2.16
O 0.1290 0.7500 0.1564  2 Sb 2.01
O 0.3710 0.2500 0.6564  2 Sb 2.01
O 0.4297 0.2500 0.9544  3 Sb 2.07-2.16
O 0.4333 0.7500 0.4399  3 Sb 2.07-2.17
O 0.4555 0.2500 0.2199  1 Sb 1.95
O 0.5445 0.7500 0.7801  1 Sb 1.95
O 0.5667 0.2500 0.5601  3 Sb 2.07-2.17
O 0.5703 0.7500 0.0456  3 Sb 2.07-2.16
O 0.6290 0.7500 0.3436  2 Sb 2.01
O 0.8710 0.2500 0.8436  2 Sb 2.01
O 0.9297 0.2500 0.5456  3 Sb 2.07-2.16
O 0.9333 0.7500 0.0601  3 Sb 2.07-2.17
O 0.9555 0.2500 0.2801  1 Sb 1.95

=====

Sb2O3: relaxed, PBE-GGA.

Values from the calculation:
Formation energy without anion corrections ... -1.302 eV/atom
Magnetic moment ... 0.00 μB/f.u.
SG ... No. 19

Cell: 7.7129 7.8272 12.0523 Å, 90.00 90.00 90.00°
Closest atoms and distances in Å follow each position.
Sites, in units of the cell vectors:
Sb 0.0044 0.0096 0.2380  3 O 2.01-2.05
Sb 0.0380 0.5715 0.7588  3 O 2.00-2.03
Sb 0.2211 0.2491 0.0160  3 O 2.00-2.04
Sb 0.2297 0.2849 0.4846  3 O 2.00-2.03
Sb 0.2703 0.7151 0.9846  3 O 2.00-2.03
Sb 0.2789 0.7509 0.5160  3 O 2.00-2.04
Sb 0.4620 0.4285 0.2588  3 O 2.00-2.03
Sb 0.4956 0.9904 0.7380  3 O 2.01-2.05
Sb 0.5044 0.4904 0.7620  3 O 2.01-2.05
Sb 0.5380 0.9285 0.2412  3 O 2.00-2.03
Sb 0.7211 0.2509 0.9840  3 O 2.00-2.04
Sb 0.7297 0.2151 0.5154  3 O 2.00-2.03
Sb 0.7703 0.7849 0.0154  3 O 2.00-2.03
Sb 0.7789 0.7491 0.4840  3 O 2.00-2.04
Sb 0.9620 0.0715 0.7412  3 O 2.00-2.03
Sb 0.9956 0.5096 0.2620  3 O 2.01-2.05
O 0.0181 0.3588 0.3971  2 Sb 2.02-2.03
O 0.0537 0.2216 0.1426  2 Sb 2.01-2.05
O 0.0704 0.6896 0.6124  2 Sb 2.01-2.04
O 0.1328 0.7705 0.8489  2 Sb 2.00-2.03
O 0.1455 0.4909 0.9935  2 Sb 2.00
O 0.2471 0.5715 0.2498  2 Sb 2.00-2.01
O 0.2529 0.4285 0.7498  2 Sb 2.00-2.01
O 0.3545 0.5091 0.4935  2 Sb 2.00
O 0.3672 0.2295 0.3489  2 Sb 2.00-2.03
O 0.4296 0.3104 0.1124  2 Sb 2.01-2.04
O 0.4463 0.7784 0.6426  2 Sb 2.01-2.05
O 0.4819 0.6412 0.8971  2 Sb 2.02-2.03
O 0.5181 0.1412 0.6029  2 Sb 2.02-2.03
O 0.5537 0.2784 0.8574  2 Sb 2.01-2.05
O 0.5704 0.8104 0.3876  2 Sb 2.01-2.04
O 0.6328 0.7295 0.1511  2 Sb 2.00-2.03
O 0.6455 0.0091 0.0065  2 Sb 2.00
O 0.7471 0.9285 0.7502  2 Sb 2.00-2.01
O 0.7529 0.0715 0.2502  2 Sb 2.00-2.01
O 0.8545 0.9909 0.5065  2 Sb 2.00
O 0.8672 0.2705 0.6511  2 Sb 2.00-2.03
O 0.9296 0.1896 0.8876  2 Sb 2.01-2.04
O 0.9463 0.7216 0.3574  2 Sb 2.01-2.05
O 0.9819 0.8588 0.1029  2 Sb 2.02-2.03

=====

SbO2: relaxed, PBE-GGA.

Values from the calculation:
Formation energy without anion corrections ... -0.987 eV/atom
Magnetic moment ... 0.00 μB/f.u.
SG ... No. 166

Cell: 5.0217 5.0217 5.0217 Å, 39.73 39.73 39.73°
Closest atoms and distances in Å follow each position.
Sites, in units of the cell vectors:
Sb 0.0000 0.0000 0.0000  6 O 2.19
O 0.2647 0.2647 0.2647  3 Sb 2.19
O 0.7353 0.7353 0.7353  3 Sb 2.19

=====

SbO2: relaxed, PBE-GGA.

Values from the calculation:
Formation energy without anion corrections ... -1.232 eV/atom
Magnetic moment ... 0.00 μB/f.u.
SG ... No. 59

Cell: 4.0984 7.3577 6.5607 Å, 90.00 90.00 90.00°
Closest atoms and distances in Å follow each position.
Sites, in units of the cell vectors:
Sb 0.2500 0.2500 0.1116  3 O 1.89-1.98
Sb 0.2500 0.7500 0.3007  5 O 2.15-2.17
Sb 0.7500 0.2500 0.6993  5 O 2.15-2.17
Sb 0.7500 0.7500 0.8884  3 O 1.89-1.98
O 0.2500 0.0416 0.2805  1 Sb 1.89
O 0.2500 0.2500 0.8102  3 Sb 1.98-2.17
O 0.2500 0.4584 0.2805  1 Sb 1.89
O 0.2500 0.7500 0.9727  3 Sb 2.12-2.15
O 0.7500 0.2500 0.0273  3 Sb 2.12-2.15
O 0.7500 0.5416 0.7195  1 Sb 1.89
O 0.7500 0.7500 0.1898  3 Sb 1.98-2.17
O 0.7500 0.9584 0.7195  1 Sb 1.89

=====

ScSbO3: relaxed, PBE-GGA.

Values from the calculation:
Formation energy without anion corrections ... -1.254 eV/atom
Magnetic moment ... 0.96 μB/f.u.
SG ... No. 221

Cell: 4.1085 4.1085 4.1085 Å, 90.00 90.00 90.00°
Closest atoms and distances in Å follow each position.
Sites, in units of the cell vectors:
Sc 0.0000 0.0000 0.0000  12 O 2.91
Sb 0.5000 0.5000 0.5000  6 O 2.05
O 0.0000 0.5000 0.5000  2 Sb 2.05
O 0.5000 0.0000 0.5000  2 Sb 2.05
O 0.5000 0.5000 0.0000  2 Sb 2.05